Entry from the Alexandria database: a geometry-optimized LaSm6Ni3 structure (PBE).

Cell lengths 8.7173, 8.7173, 7.1611 Å; angles 90.00, 90.00, 98.62 degrees
Sites, in units of the cell vectors:
La: 0.1773 0.8227 0.5000
La: 0.8227 0.1773 0.0000
Sm: 0.0855 0.4664 0.2689
Sm: 0.1290 0.2112 0.6185
Sm: 0.2112 0.1290 0.1185
Sm: 0.2720 0.7280 0.9604
Sm: 0.4664 0.0855 0.7689
Sm: 0.4696 0.5304 0.6170
Sm: 0.5304 0.4696 0.1170
Sm: 0.5336 0.9145 0.2689
Sm: 0.7280 0.2720 0.4604
Sm: 0.7888 0.8710 0.6185
Sm: 0.8710 0.7888 0.1185
Sm: 0.9145 0.5336 0.7689
Ni: 0.0777 0.9223 0.8222
Ni: 0.2070 0.4123 0.9058
Ni: 0.4123 0.2070 0.4058
Ni: 0.5877 0.7930 0.9058
Ni: 0.7930 0.5877 0.4058
Ni: 0.9223 0.0777 0.3222

Results
**Energy**: -5.23 eV per atom
**ΔH_f (0 K)**: -0.17 eV/atom

=====

Entry from the Alexandria database: a geometry-optimized LiFe2W structure (PBE).

Cell lengths 4.7289, 4.7289, 2.5660 Å; angles 96.93, 96.93, 112.71 degrees
Sites, in units of the cell vectors:
Li: 0.0000 0.0000 0.0000
Fe: 0.0000 0.5000 0.5000
Fe: 0.5000 0.0000 0.5000
W: 0.5000 0.5000 0.0000

Results
**Energy**: -7.63 eV per atom
**ΔH_f (0 K)**: 0.32 eV/atom

=====

Entry from the Alexandria database: a geometry-optimized Mn4CoRh structure (PBE).

Cell lengths 4.6252, 4.6252, 4.6252 Å; angles 60.00, 60.00, 60.00 degrees
Sites, in units of the cell vectors:
Mn: 0.3756 0.3756 0.3756
Mn: 0.3756 0.3756 0.8731
Mn: 0.3756 0.8731 0.3756
Mn: 0.8731 0.3756 0.3756
Co: 0.7500 0.7500 0.7500
Rh: 0.0000 0.0000 0.0000

Results
**Energy**: -8.36 eV per atom
**ΔH_f (0 K)**: 0.16 eV/atom

=====

Entry from the Alexandria database: a geometry-optimized RePPb4 structure (PBE).

Cell lengths 6.2288, 6.2288, 6.2288 Å; angles 60.00, 60.00, 60.00 degrees
Sites, in units of the cell vectors:
Re: 0.0000 0.0000 0.0000
P: 0.7500 0.7500 0.7500
Pb: 0.3747 0.3747 0.3747
Pb: 0.3747 0.3747 0.8760
Pb: 0.3747 0.8760 0.3747
Pb: 0.8760 0.3747 0.3747

Results
**Energy**: -4.10 eV per atom
**ΔH_f (0 K)**: 1.35 eV/atom

=====

Entry from the Alexandria database: a geometry-optimized TbErZnSn structure (PBE).

Cell lengths 5.1714, 5.1714, 5.1714 Å; angles 60.00, 60.00, 60.00 degrees
Sites, in units of the cell vectors:
Tb: 0.0000 0.0000 0.0000
Er: 0.5000 0.5000 0.5000
Zn: 0.7500 0.7500 0.7500
Sn: 0.2500 0.2500 0.2500

Results
**Energy**: -4.11 eV per atom
**ΔH_f (0 K)**: -0.49 eV/atom

=====

Entry from the Alexandria database: a geometry-optimized LiRu3Cl structure (PBE).

Cell lengths 4.2786, 4.2786, 4.2786 Å; angles 90.00, 90.00, 90.00 degrees
Sites, in units of the cell vectors:
Li: 0.0000 0.0000 0.0000
Ru: 0.0000 0.0000 0.5000
Ru: 0.0000 0.5000 0.0000
Ru: 0.5000 0.0000 0.0000
Cl: 0.5000 0.5000 0.5000

Results
**Formation energy (no corrections)**: 1.652 eV per atom
**Energy**: -4.67 eV per atom
**ΔE to the lowest computed polymorph**: 3.21 eV/f.u.